First-principles (PBE-GGA) data for a relaxed structure of SrPdRhO4, as listed in Alexandria via LeMat-Bulk.

Cell and atoms, written as POSCAR:
```
SrPdRhO4
1.0
-1.956 5.237 2.390
-4.563 -3.428 -3.955
0.942 -2.240 5.679
O Pd Rh Sr
8 2 2 2
direct
0.692 0.383 0.654
0.279 0.969 0.234
0.690 0.969 0.234
0.310 0.031 0.766
0.308 0.617 0.346
0.692 0.383 0.230
0.308 0.617 0.770
0.721 0.031 0.766
0.000 0.500 0.500
0.500 0.500 0.500
0.500 0.000 0.500
0.500 0.000 0.000
0.153 0.307 0.903
0.847 0.693 0.097
```

Space-group type: Imma
Energy relative to the elements, uncorrected: -8.3 eV per formula unit
Final energy: -84.7 eV per cell

=====

First-principles (PBE-GGA) data for a relaxed structure of HfMn2, as listed in Alexandria via LeMat-Bulk.

Cell and atoms, written as POSCAR:
```
HfMn2
1.0
2.447 -4.238 0.000
2.447 4.238 0.000
0.000 0.000 8.160
Mn Hf
8 4
direct
0.829 0.171 0.250
0.000 0.000 0.000
0.829 0.659 0.250
0.659 0.829 0.750
0.341 0.171 0.250
0.000 0.000 0.500
0.171 0.829 0.750
0.171 0.341 0.750
0.667 0.333 0.564
0.333 0.667 0.064
0.667 0.333 0.936
0.333 0.667 0.436
```

Space-group type: P6_3/mmc
Energy of formation from the pure elements: -0.258 eV/atom
Final energy: -116.3 eV per cell

=====

First-principles (PBE-GGA) data for a relaxed structure of TiMnNb, as listed in Alexandria via LeMat-Bulk.

Cell and atoms, written as POSCAR:
```
TiMnNb
1.0
-3.631 0.514 0.554
0.367 -2.786 4.986
1.727 7.701 4.176
Nb Mn Ti
4 4 4
direct
0.250 0.250 0.301
0.750 0.250 0.801
0.250 0.750 0.301
0.750 0.750 0.801
0.750 0.000 0.421
0.250 0.000 0.921
0.250 0.500 0.681
0.750 0.500 0.181
0.250 0.500 0.009
0.750 0.500 0.509
0.750 0.000 0.094
0.250 0.000 0.594
```

Space-group type: Cmcm
Energy above the lowest structure with this stoichiometry: 0.73 eV/f.u.
Energy of formation from the pure elements: 0.117 eV/atom
Final energy: -107.1 eV per cell

=====

First-principles (PBE-GGA) data for a relaxed structure of LiTl2BiBr6, as listed in Alexandria via LeMat-Bulk.

Cell and atoms, written as POSCAR:
```
LiTl2BiBr6
1.0
7.602 0.000 -0.003
0.000 7.996 0.000
0.066 0.000 10.920
Br Tl Li Bi
12 4 2 2
direct
0.191 0.201 0.453
0.905 0.517 0.256
0.095 0.483 0.744
0.809 0.799 0.547
0.595 0.017 0.244
0.309 0.701 0.047
0.802 0.803 0.955
0.302 0.697 0.455
0.405 0.983 0.756
0.198 0.197 0.045
0.698 0.303 0.545
0.691 0.299 0.953
0.525 0.578 0.751
0.475 0.422 0.249
0.975 0.078 0.749
0.025 0.922 0.251
0.500 0.000 0.000
0.000 0.500 0.500
0.500 0.000 0.500
0.000 0.500 0.000
```

Space-group type: P2_1/c
Energy relative to the elements, uncorrected: -9.4 eV per formula unit
Final energy: -60.0 eV per cell

=====

First-principles (PBE-GGA) data for a relaxed structure of Li2TiHPd, as listed in Alexandria via LeMat-Bulk.

Cell and atoms, written as POSCAR:
```
Li2TiHPd
1.0
3.695 0.000 0.000
0.000 3.695 0.000
0.000 0.000 4.427
Li Pd Ti H
2 1 1 1
direct
0.500 0.000 0.000
0.000 0.500 0.000
0.500 0.500 0.500
0.000 0.000 0.500
0.000 0.000 0.000
```

Space-group type: P4/mmm
Final energy: -21.6 eV per cell

=====

First-principles (PBE-GGA) data for a relaxed structure of CdGa2Sb, as listed in Alexandria via LeMat-Bulk.

Cell and atoms, written as POSCAR:
```
CdGa2Sb
1.0
-0.318 -3.865 2.062
-0.404 -3.704 -2.327
5.671 -3.082 -0.225
Sb Ga Cd
1 2 1
direct
0.670 0.670 0.991
0.086 0.086 0.743
0.250 0.250 0.249
0.495 0.495 0.516
```

Space-group type: R3m
Energy relative to the elements, uncorrected: 0.3 eV per formula unit
Energy above the lowest structure with this stoichiometry: 0.01 eV/f.u.
Final energy: -10.8 eV per cell